## KPtAuS3 (PBE)

Data for KPtAuS3 after structural relaxation.

a b c (Å): 8.0450 8.0450 9.8961
angles (deg): 90.00 90.00 153.58
With the nearest neighbours (Å) after each atom.
Atoms (fractional coordinates):
K 0.2124 0.7876 0.7500  4 S 3.18-3.19, 2 Au 3.33
K 0.7876 0.2124 0.2500  4 S 3.18-3.19, 2 Au 3.33
Pt 0.5000 0.5000 0.0000  6 S 2.42-2.58
Pt 0.5000 0.5000 0.5000  6 S 2.42-2.58
Au 0.1107 0.8893 0.2500  2 S 2.31
Au 0.8893 0.1107 0.7500  2 S 2.31
S 0.0996 0.9004 0.0175  1 Au 2.31, 2 Pt 2.42
S 0.0996 0.9004 0.4825  1 Au 2.31, 2 Pt 2.42
S 0.4539 0.5461 0.2500  2 Pt 2.58
S 0.5461 0.4539 0.7500  2 Pt 2.58
S 0.9004 0.0996 0.5175  1 Au 2.31, 2 Pt 2.42
S 0.9004 0.0996 0.9825  1 Au 2.31, 2 Pt 2.42

Calculated values
The symmetry is No. 63.

## Ho2SiO5 (PBE)

Data for Ho2SiO5 after structural relaxation.

a b c (Å): 7.9219 7.9219 10.2918
angles (deg): 118.80 118.80 49.90
With the nearest neighbours (Å) after each atom.
Atoms (fractional coordinates):
Ho 0.0159 0.2665 0.8354  6 O 2.19-2.28
Ho 0.2092 0.7181 0.5359  6 O 2.19-2.36
Ho 0.2665 0.0159 0.3354  6 O 2.19-2.28
Ho 0.2819 0.7908 0.9641  6 O 2.19-2.36
Ho 0.7181 0.2092 0.0359  6 O 2.19-2.36
Ho 0.7335 0.9841 0.6646  6 O 2.19-2.28
Ho 0.7908 0.2819 0.4641  6 O 2.19-2.36
Ho 0.9841 0.7335 0.1646  6 O 2.19-2.28
Si 0.2272 0.4090 0.6919  4 O 1.62-1.65
Si 0.4090 0.2272 0.1919  4 O 1.62-1.65
Si 0.5910 0.7728 0.8081  4 O 1.62-1.65
Si 0.7728 0.5910 0.3081  4 O 1.62-1.65
O 0.0550 0.3495 0.6745  1 Si 1.62
O 0.0783 0.8852 0.1014  4 Ho 2.19-2.36
O 0.0916 0.6712 0.6796  1 Si 1.65
O 0.1148 0.9217 0.3986  4 Ho 2.19-2.36
O 0.2322 0.3681 0.0595  1 Si 1.64
O 0.3288 0.9084 0.8204  1 Si 1.65
O 0.3495 0.0550 0.1745  1 Si 1.62
O 0.3681 0.2322 0.5595  1 Si 1.64
O 0.4101 0.4119 0.8600  1 Si 1.64
O 0.4119 0.4101 0.3600  1 Si 1.64
O 0.5881 0.5899 0.6400  1 Si 1.64
O 0.5899 0.5881 0.1400  1 Si 1.64
O 0.6319 0.7678 0.4405  1 Si 1.64
O 0.6505 0.9450 0.8255  1 Si 1.62
O 0.6712 0.0916 0.1796  1 Si 1.65
O 0.7678 0.6319 0.9405  1 Si 1.64
O 0.8852 0.0783 0.6014  4 Ho 2.19-2.36
O 0.9084 0.3288 0.3204  1 Si 1.65
O 0.9217 0.1148 0.8986  4 Ho 2.19-2.36
O 0.9450 0.6505 0.3255  1 Si 1.62

Calculated values
The symmetry is No. 15.

## Pr2Dy2CBr3Cl2 (PBE)

Data for Pr2Dy2CBr3Cl2 after structural relaxation.

a b c (Å): 9.1946 9.1946 8.1223
angles (deg): 104.00 104.00 24.02
With the nearest neighbours (Å) after each atom.
Atoms (fractional coordinates):
Pr 0.1458 0.1458 0.0829  1 C 2.54, 2 Cl 2.84
Pr 0.8542 0.8542 0.9171  1 C 2.54, 2 Cl 2.84
Dy 0.5004 0.5004 0.2027  2 C 2.52, 1 Cl 2.73
Dy 0.4996 0.4996 0.7973  2 C 2.52, 1 Cl 2.73
C 0.0000 0.0000 0.0000  4 Dy 2.52, 2 Pr 2.54
Br 0.0000 0.0000 0.5000  4 Dy 3.08
Br 0.3348 0.3348 0.1915  1 Dy 2.96, 3 Pr 3.02-3.29
Br 0.6652 0.6652 0.8085  1 Dy 2.96, 3 Pr 3.02-3.29
Cl 0.3451 0.3451 0.6539  1 Dy 2.73, 2 Pr 2.84
Cl 0.6549 0.6549 0.3461  1 Dy 2.73, 2 Pr 2.84

Calculated values
The symmetry is No. 12.

## SrCu2Sb4 (PBE)

Data for SrCu2Sb4 after structural relaxation.

a b c (Å): 12.8534 12.4598 5.7406
angles (deg): 80.75 73.09 26.16
With the nearest neighbours (Å) after each atom.
Atoms (fractional coordinates):
Sr 0.1250 0.1250 0.1250  6 Cu 3.48-3.82, 8 Sb 3.54-3.59
Sr 0.8750 0.8750 0.8750  6 Cu 3.48-3.82, 8 Sb 3.54-3.59
Cu 0.0200 0.0200 0.7300  2 Sb 2.54
Cu 0.2700 0.2700 0.9800  2 Sb 2.54
Cu 0.7300 0.7300 0.0200  2 Sb 2.54
Cu 0.9800 0.9800 0.2700  2 Sb 2.54
Sb 0.0930 0.5346 0.3461  1 Cu 2.54
Sb 0.3461 0.5262 0.0930  1 Cu 2.54
Sb 0.4654 0.9070 0.4738  1 Cu 2.54
Sb 0.4738 0.6539 0.4654  1 Cu 2.54
Sb 0.5262 0.3461 0.5346  1 Cu 2.54
Sb 0.5346 0.0930 0.5262  1 Cu 2.54
Sb 0.6539 0.4738 0.9070  1 Cu 2.54
Sb 0.9070 0.4654 0.6539  1 Cu 2.54

Calculated values
The symmetry is No. 70.

## HfSc2Zn (PBE)

Data for HfSc2Zn after structural relaxation.

a b c (Å): 4.8829 4.8829 4.8829
angles (deg): 60.00 60.00 60.00
With the nearest neighbours (Å) after each atom.
Atoms (fractional coordinates):
Hf 0.0000 0.0000 0.0000  4 Zn 2.99, 4 Sc 2.99
Sc 0.2500 0.2500 0.2500  4 Hf 2.99, 4 Sc 2.99
Sc 0.5000 0.5000 0.5000  4 Zn 2.99, 4 Sc 2.99
Zn 0.7500 0.7500 0.7500  4 Hf 2.99, 4 Sc 2.99

Calculated values
The calculation puts the formation energy at 0.087 eV/atom. The symmetry is No. 216.

## Li2AgBi (PBE)

Data for Li2AgBi after structural relaxation.

a b c (Å): 4.7873 4.7873 6.7651
angles (deg): 90.00 90.00 90.00
With the nearest neighbours (Å) after each atom.
Atoms (fractional coordinates):
Li 0.0000 0.0000 0.0000  4 Li 2.93, 4 Ag 2.93
Li 0.0000 0.5000 0.2493  4 Bi 2.93, 4 Li 2.93
Li 0.5000 0.0000 0.7507  4 Bi 2.93, 4 Li 2.93
Li 0.5000 0.5000 0.5000  4 Ag 2.93, 4 Li 2.93
Ag 0.0000 0.5000 0.7496  4 Bi 2.93, 4 Li 2.93
Ag 0.5000 0.0000 0.2504  4 Li 2.93, 4 Bi 2.93
Bi 0.0000 0.0000 0.5000  4 Ag 2.93, 4 Li 2.93
Bi 0.5000 0.5000 0.0000  4 Li 2.93, 4 Ag 2.93

Calculated values
The symmetry is No. 115.

## PrBr (PBE)

Data for PrBr after structural relaxation.

a b c (Å): 4.2954 4.2954 4.2954
angles (deg): 60.00 60.00 60.00
With the nearest neighbours (Å) after each atom.
Atoms (fractional coordinates):
Pr 0.0000 0.0000 0.0000  6 Br 3.04
Br 0.5000 0.5000 0.5000  6 Pr 3.04

Calculated values
The symmetry is No. 225.

## AcSmCd (PBE)

Data for AcSmCd after structural relaxation.

a b c (Å): 5.2850 5.2850 5.2850
angles (deg): 60.00 60.00 60.00
With the nearest neighbours (Å) after each atom.
Atoms (fractional coordinates):
Ac 0.0000 0.0000 0.0000  4 Sm 3.24
Sm 0.2500 0.2500 0.2500  4 Cd 3.24, 4 Ac 3.24
Cd 0.5000 0.5000 0.5000  4 Sm 3.24

Calculated values
The calculation puts the formation energy at 0.381 eV/atom. The symmetry is No. 216.

## AlCoIrW (PBE)

Data for AlCoIrW after structural relaxation.

a b c (Å): 4.2968 4.2968 4.2968
angles (deg): 60.00 60.00 60.00
With the nearest neighbours (Å) after each atom.
Atoms (fractional coordinates):
Al 0.0000 0.0000 0.0000  4 Ir 2.63, 4 Co 2.63
Co 0.2500 0.2500 0.2500  4 W 2.63, 4 Al 2.63
Ir 0.7500 0.7500 0.7500  4 W 2.63, 4 Al 2.63
W 0.5000 0.5000 0.5000  4 Ir 2.63, 4 Co 2.63

Calculated values
The symmetry is No. 216.

## Nd2AsPIr2O2 (PBE)

Data for Nd2AsPIr2O2 after structural relaxation.

a b c (Å): 4.0351 4.0351 8.4069
angles (deg): 90.00 90.00 90.00
With the nearest neighbours (Å) after each atom.
Atoms (fractional coordinates):
Nd 0.0000 0.0000 0.0000  4 O 2.33
Nd 0.5000 0.5000 0.2819  4 O 2.35
As 0.5000 0.5000 0.8024  4 Ir 2.50
P 0.0000 0.0000 0.4796  4 Ir 2.36
Ir 0.0000 0.5000 0.6261  2 P 2.36, 2 As 2.50
Ir 0.5000 0.0000 0.6261  2 P 2.36, 2 As 2.50
O 0.0000 0.5000 0.1387  4 Nd 2.33-2.35
O 0.5000 0.0000 0.1387  4 Nd 2.33-2.35

Calculated values
The symmetry is No. 99.

## MgAl2Au2 (PBE)

Data for MgAl2Au2 after structural relaxation.

a b c (Å): 6.7266 6.7266 6.7266
angles (deg): 146.06 146.06 48.76
With the nearest neighbours (Å) after each atom.
Atoms (fractional coordinates):
Mg 0.0000 0.0000 0.0000  8 Au 3.10
Al 0.2500 0.7500 0.5000  4 Au 2.59, 4 Al 2.78
Al 0.7500 0.2500 0.5000  4 Au 2.59, 4 Al 2.78
Au 0.3882 0.3882 0.0000  4 Al 2.59, 1 Au 2.74
Au 0.6118 0.6118 0.0000  4 Al 2.59, 1 Au 2.74

Calculated values
The symmetry is No. 139.

## NaAl2Ag2 (PBE)

Data for NaAl2Ag2 after structural relaxation.

a b c (Å): 6.6372 6.6372 6.6372
angles (deg): 143.61 143.61 52.41
With the nearest neighbours (Å) after each atom.
Atoms (fractional coordinates):
Na 0.0000 0.0000 0.0000  8 Ag 3.23
Al 0.2500 0.7500 0.5000  4 Ag 2.63, 4 Al 2.93
Al 0.7500 0.2500 0.5000  4 Ag 2.63, 4 Al 2.93
Ag 0.3861 0.3861 0.0000  4 Al 2.63, 1 Ag 2.71
Ag 0.6139 0.6139 0.0000  4 Al 2.63, 1 Ag 2.71

Calculated values
The symmetry is No. 139.

## TmPu2Co9 (PBE)

Data for TmPu2Co9 after structural relaxation.

a b c (Å): 8.5057 8.5057 8.5057
angles (deg): 32.36 32.36 32.36
With the nearest neighbours (Å) after each atom.
Atoms (fractional coordinates):
Tm 0.0000 0.0000 0.0000  6 Co 2.74
Pu 0.1450 0.1450 0.1450  12 Co 2.79-2.90, 3 Pu 2.93
Pu 0.8550 0.8550 0.8550  12 Co 2.79-2.90, 3 Pu 2.93
Co 0.0843 0.5818 0.5818  7 Co 2.36-2.44
Co 0.3326 0.3326 0.3326  6 Co 2.41-2.43
Co 0.4182 0.4182 0.9157  7 Co 2.36-2.44
Co 0.4182 0.9157 0.4182  7 Co 2.36-2.44
Co 0.5000 0.5000 0.5000  6 Co 2.44
Co 0.5818 0.0843 0.5818  7 Co 2.36-2.44
Co 0.5818 0.5818 0.0843  7 Co 2.36-2.44
Co 0.6674 0.6674 0.6674  6 Co 2.41-2.43
Co 0.9157 0.4182 0.4182  7 Co 2.36-2.44

Calculated values
The calculation puts the formation energy at 0.042 eV/atom. The symmetry is No. 166.

## B2IrPt (PBE)

Data for B2IrPt after structural relaxation.

a b c (Å): 4.0915 4.0915 4.0915
angles (deg): 60.00 60.00 60.00
With the nearest neighbours (Å) after each atom.
Atoms (fractional coordinates):
B 0.0000 0.0000 0.0000  4 B 2.51, 4 Ir 2.51
B 0.2500 0.2500 0.2500  4 B 2.51, 4 Pt 2.51
Ir 0.7500 0.7500 0.7500  4 Pt 2.51, 4 B 2.51
Pt 0.5000 0.5000 0.5000  4 Ir 2.51, 4 B 2.51

Calculated values
The symmetry is No. 216.

## CsDyCoS3 (PBE)

Data for CsDyCoS3 after structural relaxation.

a b c (Å): 8.0060 8.0060 10.4775
angles (deg): 90.00 90.00 151.39
With the nearest neighbours (Å) after each atom.
Atoms (fractional coordinates):
Cs 0.2402 0.7598 0.7500  8 S 3.56-3.88, 2 Cs 3.96
Cs 0.7598 0.2402 0.2500  8 S 3.56-3.88, 2 Cs 3.96
Dy 0.5000 0.5000 0.0000  6 S 2.73
Dy 0.5000 0.5000 0.5000  6 S 2.73
Co 0.0339 0.9661 0.2500  4 S 2.26-2.36
Co 0.9661 0.0339 0.7500  4 S 2.26-2.36
S 0.1123 0.8877 0.0682  1 Co 2.26
S 0.1123 0.8877 0.4318  1 Co 2.26
S 0.4503 0.5497 0.2500  2 Co 2.36
S 0.5497 0.4503 0.7500  2 Co 2.36
S 0.8877 0.1123 0.5682  1 Co 2.26
S 0.8877 0.1123 0.9318  1 Co 2.26

Calculated values
The symmetry is No. 63.

## SmNb2O6 (PBE)

Data for SmNb2O6 after structural relaxation.

a b c (Å): 3.9430 3.9430 7.9784
angles (deg): 90.00 90.00 90.00
With the nearest neighbours (Å) after each atom.
Atoms (fractional coordinates):
Sm 0.0000 0.0000 0.0000  12 O 2.60-2.79
Nb 0.5000 0.5000 0.2588  6 O 1.92-2.06
Nb 0.5000 0.5000 0.7412  6 O 1.92-2.06
O 0.0000 0.5000 0.2127  2 Nb 2.01
O 0.0000 0.5000 0.7873  2 Nb 2.01
O 0.5000 0.0000 0.2127  2 Nb 2.01
O 0.5000 0.0000 0.7873  2 Nb 2.01
O 0.5000 0.5000 0.0000  2 Nb 2.06
O 0.5000 0.5000 0.5000  2 Nb 1.92

Calculated values
The symmetry is No. 123.

## Rb2ZrReO6 (PBE)

Data for Rb2ZrReO6 after structural relaxation.

a b c (Å): 5.7485 5.7485 5.7485
angles (deg): 60.00 60.00 60.00
With the nearest neighbours (Å) after each atom.
Atoms (fractional coordinates):
Rb 0.2500 0.2500 0.2500  12 O 2.88
Rb 0.7500 0.7500 0.7500  12 O 2.88
Zr 0.0000 0.0000 0.0000  6 O 2.13
Re 0.5000 0.5000 0.5000  6 O 1.94
O 0.2619 0.2619 0.7381  1 Re 1.94, 1 Zr 2.13
O 0.2619 0.7381 0.2619  1 Re 1.94, 1 Zr 2.13
O 0.2619 0.7381 0.7381  1 Re 1.94, 1 Zr 2.13
O 0.7381 0.2619 0.2619  1 Re 1.94, 1 Zr 2.13
O 0.7381 0.2619 0.7381  1 Re 1.94, 1 Zr 2.13
O 0.7381 0.7381 0.2619  1 Re 1.94, 1 Zr 2.13

Calculated values
The symmetry is No. 225.

## NdHo2N3 (PBE)

Data for NdHo2N3 after structural relaxation.

a b c (Å): 3.4977 3.4977 8.5848
angles (deg): 90.00 90.00 120.00
With the nearest neighbours (Å) after each atom.
Atoms (fractional coordinates):
Nd 0.0000 0.0000 0.0000  6 N 2.53
Ho 0.3333 0.6667 0.3385  6 N 2.44-2.45
Ho 0.6667 0.3333 0.6615  6 N 2.44-2.45
N 0.0000 0.0000 0.5000  6 Ho 2.45
N 0.3333 0.6667 0.8220  3 Ho 2.44, 3 Nd 2.53
N 0.6667 0.3333 0.1780  3 Ho 2.44, 3 Nd 2.53

Calculated values
The symmetry is No. 164.

For reference, total DFT energy (no corrections) by record: -49.827, -265.789, -52.025, -51.566, -23.530, -24.275, -8.414, -8.569, -33.521, -62.105, -17.439, -14.412, -96.182, -23.199, -65.468, -79.501, -74.073, -48.449 eV/cell.